1.
Here is an optimized crystal structure of ZrTc2Os from the Alexandria database. Energies are from PBE-GGA.

Results
- space-group type = P4/mmm (123)
- relative energy among the computed polymorphs (meV/atom) = 22

```
4
Lattice="-2.776 -0.991 -3.432 -2.870 -1.971 2.888 -1.474 2.735 0.403" Properties=species:S:1:pos:R:3 pbc="T T T"
Os -2.172 0.382 1.645
Tc 0.000 0.000 0.000
Tc -2.823 -1.481 -0.272
Zr -2.125 0.872 -1.514
```

2.
Here is an optimized crystal structure of Zr4Tc3Os from the Alexandria database. Energies are from PBE-GGA.

Results
- space-group type = Pmmm (47)

```
8
Lattice="-2.366 -0.571 -2.200 -0.137 -4.471 1.308 -6.460 2.073 6.408" Properties=species:S:1:pos:R:3 pbc="T T T"
Os -1.251 -2.521 -0.446
Tc -2.792 0.231 0.496
Tc -4.481 -1.485 2.758
Tc -6.034 1.271 3.712
Zr -3.230 1.036 3.204
Zr -4.914 -0.681 5.461
Zr 0.000 0.000 0.000
Zr -1.682 -1.718 2.255
```

3.
Here is an optimized crystal structure of ZrTcOs2 from the Alexandria database. Energies are from PBE-GGA.

Results
- space-group type = I4/mmm (139)
- relative energy among the computed polymorphs (meV/atom) = 67

```
4
Lattice="-0.060 -4.771 -1.057 1.190 -0.597 -4.702 2.177 2.490 3.598" Properties=species:S:1:pos:R:3 pbc="T T T"
Os 0.000 0.000 0.000
Os 0.565 -2.684 -2.879
Tc 1.966 -0.395 -1.992
Zr 1.341 -2.482 -0.169
```

4.
Here is an optimized crystal structure of ZrTcOs2 from the Alexandria database. Energies are from PBE-GGA.

Results
- space-group type = Immm (71)
- relative energy among the computed polymorphs (meV/atom) = 131

```
4
Lattice="-0.483 -3.447 3.970 -2.336 -4.602 -1.116 4.037 3.214 -1.117" Properties=species:S:1:pos:R:3 pbc="T T T"
Os -2.816 -8.042 2.851
Os -1.412 -4.031 1.429
Tc 1.073 -2.129 2.140
Zr 0.146 -2.706 -0.403
```

5.
Here is an optimized crystal structure of ZrTcOs2 from the Alexandria database. Energies are from PBE-GGA.

Results
- space-group type = P4mm (99)
- relative energy among the computed polymorphs (meV/atom) = 192

```
4
Lattice="3.235 0.000 0.000 0.000 3.235 0.000 0.000 0.000 6.289" Properties=species:S:1:pos:R:3 pbc="T T T"
Os 0.000 0.000 0.074
Os 1.618 1.618 1.698
Tc 0.000 0.000 2.903
Zr 1.618 1.618 4.758
```

6.
Here is an optimized crystal structure of ZrTcOs from the Alexandria database. Energies are from PBE-GGA.

Results
- space-group type = P3m1 (156)
- relative energy among the computed polymorphs (meV/atom) = 240

```
3
Lattice="4.486 0.000 0.000 -2.243 3.885 0.000 0.000 0.000 2.852" Properties=species:S:1:pos:R:3 pbc="T T T"
Os 0.000 0.000 2.831
Tc 2.243 1.295 0.990
Zr 0.000 2.590 1.883
```

7.
Here is an optimized crystal structure of ZrTc2Os from the Alexandria database. Energies are from PBE-GGA.

Results
- space-group type = Fm-3m (225)
- relative energy among the computed polymorphs (meV/atom) = 74

```
4
Lattice="0.000 3.179 3.179 3.179 0.000 3.179 3.179 3.179 0.000" Properties=species:S:1:pos:R:3 pbc="T T T"
Os 3.179 3.179 3.179
Tc 1.589 1.589 1.589
Tc 4.768 4.768 4.768
Zr 0.000 0.000 0.000
```

8.
Here is an optimized crystal structure of Zr3TcOs from the Alexandria database. Energies are from PBE-GGA.

Results
- space-group type = Pm-3m (221)
- relative energy among the computed polymorphs (meV/atom) = 78

```
5
Lattice="4.874 0.000 0.000 0.000 4.874 0.000 0.000 0.000 4.874" Properties=species:S:1:pos:R:3 pbc="T T T"
Os 2.437 2.437 2.437
Tc 0.000 0.000 0.000
Zr 0.000 2.437 0.000
Zr 0.000 0.000 2.437
Zr 2.437 0.000 0.000
```

Energy relative to the elements / eV per atom: 0.02; -0.41; 0.07; 0.13; 0.19; 0.06; 0.07; 0.94
Magnetic moment / μB/cell: 0.000; 0.000; 0.000; 0.000; 0.000; 0.000; 0.000; 0.000
DOS(E_F) / states/eV per atom: 1.19; 0.88; 1.50; 1.06; 1.19; 0.97; 1.55; 0.98